Record 1
Compound: Rb2AgBiCl6
Source: Alexandria via LeMat-Bulk
Functional: GGA-PBEsol
Structure: relaxed

```
10
Lattice="0.000 5.307 5.307 5.307 0.000 5.307 5.307 5.307 0.000" Properties=species:S:1:pos:R:3 pbc="T T T"
Rb 2.653 2.653 2.653
Rb 7.960 7.960 7.960
Ag 0.000 0.000 0.000
Bi 5.307 5.307 5.307
Cl 5.307 5.307 2.621
Cl 5.307 2.621 5.307
Cl 7.993 5.307 5.307
Cl 2.621 5.307 5.307
Cl 5.307 7.993 5.307
Cl 5.307 5.307 7.993
```

Calculated values
Formation energy (no corrections) (eV/atom): -1.28
SG: Fm-3m (225)

Record 2
Compound: CoAgBi3
Source: Alexandria via LeMat-Bulk
Functional: GGA-PBEsol
Structure: relaxed

```
5
Lattice="5.366 0.000 0.000 0.000 5.366 0.000 0.000 0.000 5.366" Properties=species:S:1:pos:R:3 pbc="T T T"
Co 0.000 0.000 0.000
Ag 2.683 2.683 2.683
Bi 0.000 2.683 2.683
Bi 2.683 0.000 2.683
Bi 2.683 2.683 0.000
```

Calculated values
Formation energy from the elements (kcal/mol of atoms): 27.99
SG: Pm-3m (221)

V, record by record: 298.9; 154.5 Å³/cell
M_tot, record by record: 0.000; 2.049 μB per cell